Computed, not measured: crystalline Na2SnBi2 at its relaxed geometry at the GGA-PBEsol level of DFT.

Cell and atoms, written as CIF:
```
data_Na2SnBi2
_chemical_formula_sum 'Na4 Sn2 Bi4'
_cell_length_a 4.4403
_cell_length_b 4.4403
_cell_length_c 15.4696
_cell_angle_alpha 90.00
_cell_angle_beta 90.00
_cell_angle_gamma 90.00
_space_group_name_H-M_alt 'I 4/m m m'
_space_group_IT_number 139
_space_group_name_Hall '-I 4 2'
loop_
_atom_site_label
_atom_site_fract_x
_atom_site_fract_y
_atom_site_fract_z
_atom_site_occupancy
Na1 0.0000 0.5000 0.2500 1
Sn1 0.0000 0.0000 0.0000 1
Bi1 0.0000 0.0000 0.4035 1
```

Results
- Calculated formation energy: 0.21 eV per formula unit
- Total magnetization: 0.000 Bohr magnetons per cell
- Crystal system: tetragonal
- Distance to the lowest polymorph of the same formula: 4.396 kcal/mol of atoms